Record 1
Compound: ErAl6Fe
Source: Alexandria
Functional: PBE-GGA
Structure: optimized geometry

abc: 5.799 5.799 6.526
angles: 63.62 63.62 60.00
Positions (direct):
Er 0.500 0.500 0.500
Al 0.912 0.912 0.740
Al 0.437 0.912 0.740
Al 0.088 0.563 0.260
Al 0.563 0.088 0.260
Al 0.088 0.088 0.260
Al 0.912 0.437 0.740
Fe 0.000 0.000 0.000

Summary:
- volume (Å³/atom) = 20.39
- theoretical density (g/cm³) = 3.919
- formation energy (eV/atom) = 0.07
- crystal system = trigonal

=====

Record 2
Compound: ErAlFe
Source: Alexandria
Functional: PBE-GGA
Structure: optimized geometry

abc: 5.105 5.105 5.322
angles: 105.64 105.64 115.97
Each line ends with the local moment (μB).
Positions (direct):
Er 0.678 0.322 0.000  -0.18
Er 0.322 0.678 0.000  -0.18
Al 0.820 0.820 0.639  -0.02
Al 0.180 0.180 0.361  -0.02
Fe 0.750 0.250 0.500  1.25
Fe 0.250 0.750 0.500  1.25

Summary:
- volume (Å³/atom) = 17.89
- theoretical density (g/cm³) = 7.736
- formation energy (eV/atom) = -0.08
- crystal system = orthorhombic